Record 1
A plane-wave DFT calculation with GGA-PBE was carried out for an optimized crystal structure of TbPr4.

a b c (Å): 5.892 5.892 5.892
angles (deg): 90.00 90.00 90.00
Fractional coordinates of all 5 atoms:
Tb  0.000  0.000  0.000
Pr  0.000  0.000  0.500
Pr  0.000  0.500  0.000
Pr  0.500  0.000  0.000
Pr  0.500  0.500  0.500

space-group type	Pm-3m (221)
Fermi-level density of states	9.078	states/eV per cell

=====

Record 2
A plane-wave DFT calculation with GGA-PBE was carried out for an optimized crystal structure of Tb7Pr5.

a b c (Å): 5.659 5.659 14.933
angles (deg): 102.03 102.03 62.33
Fractional coordinates of all 12 atoms:
Tb  0.000  0.000  0.000
Tb  0.181  0.181  0.584
Tb  0.256  0.256  0.828
Tb  0.457  0.457  0.285
Tb  0.543  0.543  0.715
Tb  0.744  0.744  0.172
Tb  0.819  0.819  0.416
Pr  0.122  0.122  0.298
Pr  0.365  0.365  0.064
Pr  0.500  0.500  0.500
Pr  0.635  0.635  0.936
Pr  0.878  0.878  0.702

space-group type	C2/m (12)
Fermi-level density of states	20.656	states/eV per cell

=====

Record 3
A plane-wave DFT calculation with GGA-PBE was carried out for an optimized crystal structure of Tb3Pr.

a b c (Å): 6.236 6.236 6.236
angles (deg): 131.82 131.82 70.51
Fractional coordinates of all 4 atoms:
Tb  0.000  0.000  0.000
Tb  0.250  0.750  0.500
Tb  0.750  0.250  0.500
Pr  0.500  0.500  0.000

space-group type	I4/mmm (139)
Fermi-level density of states	5.379	states/eV per cell

=====

no.,total moment (μB per cell),formation energy (eV/atom)
1,0.3,0.6089
2,0.0,0.1754
3,0.0,0.0174